[1]
# Sm3SBr3

A relaxed Sm3SBr3 crystal (GGA-PBE, the Alexandria database).

E_tot = -5.02 eV per atom
space-group type = No. 148
DOS(E_F) = 4.26 states/eV/cell

extended XYZ file:
```
14
Lattice="-3.140 2.193 5.826 -1.405 -4.522 5.117 7.999 1.220 8.024" Properties=species:S:1:pos:R:3 pbc="T T T"
Sm 4.100 0.837 12.986
Sm -2.268 0.933 8.194
Sm 5.576 1.685 9.391
Sm -2.122 -2.794 9.576
Sm 5.723 -2.043 10.773
Sm -0.646 -1.947 5.980
Br 2.875 2.056 10.539
Br 0.452 0.612 6.981
Br -1.062 -0.204 10.644
Br 3.002 -1.721 11.986
Br 4.516 -0.905 8.323
Br 0.579 -3.166 8.427
S -3.030 -1.553 7.295
S 6.484 0.443 11.671
```



[2]
# SnS2Br

A relaxed SnS2Br crystal (GGA-PBE, the Alexandria database).

E_tot = -3.05 eV per atom
space-group type = No. 225
relative energy among the computed polymorphs = 213 kJ/mol of formula units
DOS(E_F) = 5.34 states/eV/cell

extended XYZ file:
```
4
Lattice="0.000 3.460 3.460 3.460 0.000 3.460 3.460 3.460 0.000" Properties=species:S:1:pos:R:3 pbc="T T T"
S 1.730 1.730 1.730
S 5.190 5.190 5.190
Sn 3.460 3.460 3.460
Br 0.000 0.000 0.000
```



[3]
# Sn2S2Br

A relaxed Sn2S2Br crystal (GGA-PBE, the Alexandria database).

E_tot = -3.94 eV per atom
space-group type = No. 15
relative energy among the computed polymorphs = 0 kJ/mol of formula units
DOS(E_F) = 7.87 states/eV/cell

extended XYZ file:
```
10
Lattice="7.182 0.800 0.331 -0.710 7.192 0.331 -2.594 -3.202 5.335" Properties=species:S:1:pos:R:3 pbc="T T T"
S 3.319 5.851 0.768
S 3.737 2.861 3.435
S 0.142 1.928 2.561
S 0.560 -1.062 5.229
Sn 5.088 1.170 1.664
Sn 1.859 1.134 4.332
Sn -1.209 3.619 4.332
Sn 2.020 3.656 1.664
Br 4.129 -0.704 4.332
Br -0.250 5.493 1.664
```